Compound: Y5Hg
Source: the Alexandria database
Functional: GGA-PBE
Structure: relaxed

```
Y5Hg
1.0
3.201 -5.544 0.000
3.201 5.544 0.000
0.000 0.000 5.813
Y Hg
5 1
Direct
0.500 0.500 0.500
0.000 0.500 0.500
0.667 0.333 0.000
0.333 0.667 0.000
0.500 0.000 0.500
0.000 0.000 0.000
```

Calculated values
Space-group type ... P6/mmm
Total magnetic moment ... 0.00 μB/f.u.
Energy of formation from the pure elements ... 284 kJ/mol of formula units
Relative energy among the computed polymorphs ... 0.641 eV/atom
Mass density ... 5.2 g/cm3


Compound: KPuMn2Cl8
Source: the Alexandria database
Functional: GGA-PBE
Structure: relaxed

```
KPuMn2Cl8
1.0
-6.156 -2.065 -0.148
-2.498 -3.134 5.110
-5.935 7.081 5.568
Cl K Mn Pu
8 1 2 1
Direct
0.882 0.568 0.327
0.568 0.223 0.327
0.674 0.674 0.977
0.432 0.118 0.673
0.777 0.432 0.673
0.223 0.882 0.327
0.118 0.777 0.673
0.326 0.326 0.023
0.000 0.000 0.000
0.251 0.251 0.246
0.749 0.749 0.754
0.500 0.500 0.500
```

Calculated values
Space-group type ... R32
Total magnetic moment ... 15.00 μB/f.u.
Formation energy from raw total energies ... -17.3 eV per formula unit
Mass density ... 3.0 g/cm3


Compound: Hg2I2O
Source: the Alexandria database
Functional: GGA-PBE
Structure: relaxed

```
Hg2I2O
1.0
4.302 0.000 0.000
0.000 4.302 0.000
2.151 2.151 8.025
O Hg I
1 2 2
Direct
0.000 0.000 0.000
0.750 0.250 0.500
0.250 0.750 0.500
0.592 0.592 0.817
0.408 0.408 0.183
```

Calculated values
Space-group type ... I4/mmm
Total magnetic moment ... 1.77 μB/f.u.
Formation energy from raw total energies ... 2.7 eV per formula unit
Relative energy among the computed polymorphs ... 0.604 eV/atom
Mass density ... 7.5 g/cm3


Compound: NbCu3C
Source: the Alexandria database
Functional: GGA-PBE
Structure: relaxed

```
NbCu3C
1.0
-3.688 -1.178 0.726
-0.406 -1.054 -3.773
1.323 -3.608 0.866
Cu C Nb
3 1 1
Direct
0.000 0.000 0.500
0.500 0.000 0.000
0.000 0.500 0.000
0.000 0.000 0.000
0.500 0.500 0.500
```

Calculated values
Space-group type ... Pm-3m
Total magnetic moment ... 0.00 μB/f.u.
Energy of formation from the pure elements ... 310 kJ/mol of formula units
Relative energy among the computed polymorphs ... 0.000 eV/atom
Mass density ... 8.0 g/cm3


Compound: CsLiAcO3
Source: the Alexandria database
Functional: GGA-PBE
Structure: relaxed

```
CsLiAcO3
1.0
-3.457 -0.249 3.535
2.677 -2.453 3.366
1.480 3.916 2.641
O Li Cs Ac
3 1 1 1
Direct
0.506 0.507 0.971
0.971 0.507 0.506
0.507 0.971 0.507
0.746 0.746 0.746
0.060 0.060 0.060
0.461 0.461 0.461
```

Calculated values
Space-group type ... R3m
Total magnetic moment ... 1.03 μB/f.u.
Formation energy from raw total energies ... -11.7 eV per formula unit
Relative energy among the computed polymorphs ... 0.000 eV/atom
Mass density ... 5.8 g/cm3


Compound: B2C3
Source: the Alexandria database
Functional: GGA-PBE
Structure: relaxed

```
B2C3
1.0
-5.290 4.273 -0.125
-2.477 5.056 -3.815
2.207 -6.252 1.516
C B
6 4
Direct
0.967 0.701 0.266
0.565 0.299 0.266
0.350 0.110 0.240
0.788 0.797 0.992
0.130 0.890 0.240
0.195 0.203 0.992
0.568 0.604 0.964
0.057 0.000 0.057
0.360 0.396 0.964
0.769 0.500 0.269
```

Calculated values
Space-group type ... Imm2
Total magnetic moment ... 0.00 μB/f.u.
Energy of formation from the pure elements ... 228 kJ/mol of formula units
Relative energy among the computed polymorphs ... 0.236 eV/atom
Mass density ... 2.9 g/cm3


Compound: Zr7TlHg3
Source: the Alexandria database
Functional: GGA-PBE
Structure: relaxed

```
Zr7TlHg3
1.0
5.337 -0.141 -0.181
-2.502 7.078 0.745
-2.502 -0.993 7.047
Zr Hg Tl
7 3 1
Direct
0.000 0.500 0.500
0.303 0.592 0.012
0.200 0.195 0.195
0.697 0.988 0.408
0.303 0.012 0.592
0.697 0.408 0.988
0.800 0.805 0.805
0.000 0.221 0.779
0.500 0.000 0.000
0.000 0.779 0.221
0.500 0.500 0.500
```

Calculated values
Space-group type ... C2/m
Total magnetic moment ... 0.00 μB/f.u.
Energy of formation from the pure elements ... 190 kJ/mol of formula units
Mass density ... 9.1 g/cm3


Compound: Ce4Mg6Pb7
Source: the Alexandria database
Functional: GGA-PBE
Structure: relaxed

```
Ce4Mg6Pb7
1.0
-2.711 -7.998 -0.782
8.469 0.083 0.456
-3.244 3.408 7.056
Mg Pb Ce
6 7 4
Direct
0.302 0.000 0.302
0.698 0.000 0.698
0.000 0.302 0.302
0.000 0.698 0.698
0.302 0.302 0.000
0.698 0.698 0.000
0.500 0.250 0.750
0.250 0.500 0.750
0.000 0.000 0.000
0.500 0.750 0.250
0.250 0.750 0.500
0.750 0.250 0.500
0.750 0.500 0.250
0.500 0.000 0.000
0.000 0.000 0.500
0.500 0.500 0.500
0.000 0.500 0.000
```

Calculated values
Space-group type ... Im-3m
Total magnetic moment ... 5.10 μB/f.u.
Energy of formation from the pure elements ... -340 kJ/mol of formula units
Mass density ... 7.6 g/cm3


Among the records above, which one has the highest mass density?
Zr7TlHg3


What did the fourth record say?
Compound: NbCu3C
Source: the Alexandria database
Functional: GGA-PBE
Structure: relaxed

```
NbCu3C
1.0
-3.688 -1.178 0.726
-0.406 -1.054 -3.773
1.323 -3.608 0.866
Cu C Nb
3 1 1
Direct
0.000 0.000 0.500
0.500 0.000 0.000
0.000 0.500 0.000
0.000 0.000 0.000
0.500 0.500 0.500
```

Calculated values
Space-group type ... Pm-3m
Total magnetic moment ... 0.00 μB/f.u.
Energy of formation from the pure elements ... 310 kJ/mol of formula units
Relative energy among the computed polymorphs ... 0.000 eV/atom
Mass density ... 8.0 g/cm3


Among the records above, which one has the highest mass density?
Zr7TlHg3


Which of these has the lowest mass density?
B2C3